Record 1
The following is a DFT calculation (PBE) of a relaxed structure of YPt2Cl.

Cell: 4.299 4.299 7.129 Å, 104.23 104.23 59.96°
Fractional positions:
1 Y 0.000 0.000 0.000
2 Pt 0.266 0.266 0.754
3 Pt 0.596 0.596 0.740
4 Cl 0.730 0.730 0.233

Its uncorrected formation energy is -969 meV per atom. As for the space-group type: Cm (8).

***

Record 2
The following is a DFT calculation (PBE) of a relaxed structure of YPtCl2.

Cell: 5.368 5.368 5.844 Å, 106.40 106.40 39.77°
Fractional positions:
1 Y 0.000 0.000 0.000
2 Pt 0.373 0.373 0.654
3 Cl 0.514 0.514 0.374
4 Cl 0.717 0.717 0.027

Its uncorrected formation energy is -1102 meV per atom. As for the space-group type: Cm (8).

***

Record 3
The following is a DFT calculation (PBE) of a relaxed structure of YPt2Cl.

Cell: 5.825 5.825 4.424 Å, 112.19 112.19 33.50°
Fractional positions:
1 Y 0.000 0.000 0.000
2 Pt 0.259 0.259 0.759
3 Pt 0.741 0.741 0.241
4 Cl 0.500 0.500 0.500

Its uncorrected formation energy is -841 meV per atom. As for the space-group type: C2/m (12).

***

Number 1: spin magnetization 0.00 μB per formula unit. Number 2: spin magnetization 0.97 μB per formula unit. Number 3: spin magnetization 0.00 μB per formula unit.